# PBE-GGA Pr4In2Sn, optimized geometry
# - Magnetic moment: 0.0 μB/f.u.
# - Relative energy among the computed polymorphs: 89 meV per atom
# - Total DFT energy (no corrections): -93.72 eV per cell
data_Pr4In2Sn
_chemical_formula_sum 'Pr12 In6 Sn3'
_cell_length_a 5.4604
_cell_length_b 5.4604
_cell_length_c 26.6433
_cell_angle_alpha 90.00
_cell_angle_beta 90.00
_cell_angle_gamma 120.00
_symmetry_space_group_name_H-M 'R -3 m'
_symmetry_Int_Tables_number 166
_symmetry_space_group_name_Hall '-R 3 2"'
loop_
_atom_site_label
_atom_site_type_symbol
_atom_site_fract_x
_atom_site_fract_y
_atom_site_fract_z
_atom_site_occupancy
Pr1 Pr 0.0000 0.0000 0.1210 1
Pr2 Pr 0.0000 0.0000 0.3737 1
In1 In 0.0000 0.0000 0.2531 1
Sn1 Sn 0.0000 0.0000 0.5000 1

***

# PBE-GGA Rb3Pu2CuO9, optimized geometry
# - Raw formation energy: -1.97 eV/atom
# - Magnetic moment: 1.9 μB/f.u.
# - Total DFT energy (no corrections): -109.83 eV per cell
data_Rb3Pu2CuO9
_chemical_formula_sum 'Rb3 Pu2 Cu1 O9'
_cell_length_a 5.9983
_cell_length_b 5.9983
_cell_length_c 7.3731
_cell_angle_alpha 90.00
_cell_angle_beta 90.00
_cell_angle_gamma 120.00
_symmetry_space_group_name_H-M 'P -3 m 1'
_symmetry_Int_Tables_number 164
_symmetry_space_group_name_Hall '-P 3 2"'
loop_
_atom_site_label
_atom_site_type_symbol
_atom_site_fract_x
_atom_site_fract_y
_atom_site_fract_z
_atom_site_occupancy
Rb1 Rb 0.0000 0.0000 0.0000 1
Rb2 Rb 0.3333 0.6667 0.6567 1
Pu1 Pu 0.3333 0.6667 0.1707 1
Cu1 Cu 0.0000 0.0000 0.5000 1
O1 O 0.0000 0.5000 0.0000 1
O2 O 0.1763 0.3525 0.3211 1

***

# PBE-GGA Ca2H4RhAu2, optimized geometry
# - Magnetic moment: 0.0 μB/f.u.
# - Total DFT energy (no corrections): -70.17 eV per cell
data_Ca2H4RhAu2
_chemical_formula_sum 'Ca4 H8 Rh2 Au4'
_cell_length_a 5.716
_cell_length_b 5.716
_cell_length_c 7.986
_cell_angle_alpha 90.00
_cell_angle_beta 90.00
_cell_angle_gamma 90.00
_symmetry_space_group_name_H-M 'I 4/m m m'
_symmetry_Int_Tables_number 139
_symmetry_space_group_name_Hall '-I 4 2'
loop_
_atom_site_label
_atom_site_type_symbol
_atom_site_fract_x
_atom_site_fract_y
_atom_site_fract_z
_atom_site_occupancy
Ca1 Ca 0.000 0.500 0.250 1
H1 H 0.210 0.210 0.000 1
Rh1 Rh 0.000 0.000 0.000 1
Au1 Au 0.000 0.000 0.336 1

***

# PBE-GGA Cs2USe4, optimized geometry
# - Raw formation energy: -1.12 eV/atom
# - Magnetic moment: 0.0 μB/f.u.
# - Relative energy among the computed polymorphs: 75 meV per atom
# - Total DFT energy (no corrections): -34.77 eV per cell
data_Cs2USe4
_chemical_formula_sum 'Cs2 U1 Se4'
_cell_length_a 6.891
_cell_length_b 4.292
_cell_length_c 9.432
_cell_angle_alpha 90.00
_cell_angle_beta 111.26
_cell_angle_gamma 90.00
_symmetry_space_group_name_H-M 'P 1 2/m 1'
_symmetry_Int_Tables_number 10
loop_
_symmetry_equiv_pos_as_xyz
'x,y,z'
'-x,-y,-z'
'-x,y,-z'
'x,-y,z'
loop_
_atom_site_label
_atom_site_type_symbol
_atom_site_fract_x
_atom_site_fract_y
_atom_site_fract_z
_atom_site_occupancy
Cs1 Cs 0.178 0.000 0.351 1
U1 U 0.500 0.500 0.000 1
Se1 Se 0.250 0.000 0.998 1
Se2 Se 0.354 0.500 0.700 1

***

# PBE-GGA Pr2Dy4Ho7, optimized geometry
# - Magnetic moment: 0.0 μB/f.u.
# - Total DFT energy (no corrections): -57.59 eV per cell
data_Pr2Dy4Ho7
_chemical_formula_sum 'Pr2 Dy4 Ho7'
_cell_length_a 6.0652
_cell_length_b 6.0652
_cell_length_c 13.3682
_cell_angle_alpha 90.00
_cell_angle_beta 90.00
_cell_angle_gamma 120.00
_symmetry_space_group_name_H-M 'P -3 1 m'
_symmetry_Int_Tables_number 162
_symmetry_space_group_name_Hall '-P 3 2'
loop_
_atom_site_label
_atom_site_type_symbol
_atom_site_fract_x
_atom_site_fract_y
_atom_site_fract_z
_atom_site_occupancy
Pr1 Pr 0.3333 0.6667 0.0000 1
Dy1 Dy 0.0000 0.0000 0.3952 1
Dy2 Dy 0.3333 0.6667 0.5000 1
Ho1 Ho 0.0000 0.0000 0.0000 1
Ho2 Ho 0.0000 0.3514 0.2166 1

***

# PBE-GGA ReMo2Ir, optimized geometry
# - Magnetic moment: 0.0 μB/f.u.
# - Relative energy among the computed polymorphs: 0 meV per atom
# - Total DFT energy (no corrections): -43.25 eV per cell
data_ReMo2Ir
_chemical_formula_sum 'Re1 Mo2 Ir1'
_cell_length_a 3.939
_cell_length_b 3.939
_cell_length_c 3.929
_cell_angle_alpha 90.00
_cell_angle_beta 90.00
_cell_angle_gamma 90.00
_symmetry_space_group_name_H-M 'P 4/m m m'
_symmetry_Int_Tables_number 123
_symmetry_space_group_name_Hall '-P 4 2'
loop_
_atom_site_label
_atom_site_type_symbol
_atom_site_fract_x
_atom_site_fract_y
_atom_site_fract_z
_atom_site_occupancy
Re1 Re 0.000 0.000 0.000 1
Mo1 Mo 0.000 0.500 0.500 1
Ir1 Ir 0.500 0.500 0.000 1

***

# PBE-GGA Be2MoAu, optimized geometry
# - Magnetic moment: 1.1 μB/f.u.
# - Relative energy among the computed polymorphs: 111 meV per atom
# - Total DFT energy (no corrections): -84.39 eV per cell
data_Be2MoAu
_chemical_formula_sum 'Be8 Mo4 Au4'
_cell_length_a 5.837
_cell_length_b 5.837
_cell_length_c 5.837
_cell_angle_alpha 90.00
_cell_angle_beta 90.00
_cell_angle_gamma 90.00
_symmetry_space_group_name_H-M 'F m -3 m'
_symmetry_Int_Tables_number 225
_symmetry_space_group_name_Hall '-F 4 2 3'
loop_
_atom_site_label
_atom_site_type_symbol
_atom_site_fract_x
_atom_site_fract_y
_atom_site_fract_z
_atom_site_occupancy
Be1 Be 0.250 0.250 0.250 1
Mo1 Mo 0.000 0.000 0.000 1
Au1 Au 0.000 0.000 0.500 1

***

# PBE-GGA TlCdGaSn, optimized geometry
# - Magnetic moment: 0.0 μB/f.u.
# - Relative energy among the computed polymorphs: 0 meV per atom
# - Total DFT energy (no corrections): -10.11 eV per cell
data_TlCdGaSn
_chemical_formula_sum 'Tl1 Cd1 Ga1 Sn1'
_cell_length_a 3.383
_cell_length_b 3.770
_cell_length_c 8.032
_cell_angle_alpha 90.00
_cell_angle_beta 90.15
_cell_angle_gamma 90.00
_symmetry_space_group_name_H-M 'P 1 m 1'
_symmetry_Int_Tables_number 6
loop_
_symmetry_equiv_pos_as_xyz
'x,y,z'
'x,-y,z'
loop_
_atom_site_label
_atom_site_type_symbol
_atom_site_fract_x
_atom_site_fract_y
_atom_site_fract_z
_atom_site_occupancy
Tl1 Tl 0.000 0.000 0.000 1
Cd1 Cd 0.500 0.500 0.276 1
Ga1 Ga 0.000 0.000 0.485 1
Sn1 Sn 0.504 0.500 0.695 1

***

# PBE-GGA SrMgNO2, optimized geometry
# - Raw formation energy: -1.04 eV/atom
# - Magnetic moment: 3.0 μB/f.u.
# - Total DFT energy (no corrections): -26.70 eV per cell
data_SrMgNO2
_chemical_formula_sum 'Sr1 Mg1 N1 O2'
_cell_length_a 4.062
_cell_length_b 4.062
_cell_length_c 4.122
_cell_angle_alpha 90.00
_cell_angle_beta 90.00
_cell_angle_gamma 90.00
_symmetry_space_group_name_H-M 'P 4/m m m'
_symmetry_Int_Tables_number 123
_symmetry_space_group_name_Hall '-P 4 2'
loop_
_atom_site_label
_atom_site_type_symbol
_atom_site_fract_x
_atom_site_fract_y
_atom_site_fract_z
_atom_site_occupancy
Sr1 Sr 0.000 0.000 0.000 1
Mg1 Mg 0.500 0.500 0.500 1
N1 N 0.500 0.500 0.000 1
O1 O 0.000 0.500 0.500 1

***

# PBE-GGA CePm6Th, optimized geometry
# - Magnetic moment: 0.8 μB/f.u.
# - Total DFT energy (no corrections): -40.18 eV per cell
data_CePm6Th
_chemical_formula_sum 'Ce1 Pm6 Th1'
_cell_length_a 6.513
_cell_length_b 6.862
_cell_length_c 6.883
_cell_angle_alpha 60.82
_cell_angle_beta 84.70
_cell_angle_gamma 82.69
_symmetry_space_group_name_H-M 'P -1'
_symmetry_Int_Tables_number 2
loop_
_symmetry_equiv_pos_as_xyz
'x,y,z'
'-x,-y,-z'
loop_
_atom_site_label
_atom_site_type_symbol
_atom_site_fract_x
_atom_site_fract_y
_atom_site_fract_z
_atom_site_occupancy
Ce1 Ce 0.000 0.000 0.000 1
Pm1 Pm 0.235 0.097 0.427 1
Pm2 Pm 0.253 0.558 0.443 1
Pm3 Pm 0.261 0.574 0.906 1
Th1 Th 0.500 0.000 0.000 1

***

# PBE-GGA PuScGaAg, optimized geometry
# - Magnetic moment: 5.6 μB/f.u.
# - Total DFT energy (no corrections): -109.44 eV per cell
data_PuScGaAg
_chemical_formula_sum 'Pu4 Sc4 Ga4 Ag4'
_cell_length_a 7.067
_cell_length_b 7.067
_cell_length_c 7.067
_cell_angle_alpha 90.00
_cell_angle_beta 90.00
_cell_angle_gamma 90.00
_symmetry_space_group_name_H-M 'F -4 3 m'
_symmetry_Int_Tables_number 216
_symmetry_space_group_name_Hall 'F -4 2 3'
loop_
_atom_site_label
_atom_site_type_symbol
_atom_site_fract_x
_atom_site_fract_y
_atom_site_fract_z
_atom_site_occupancy
Pu1 Pu 0.000 0.000 0.000 1
Sc1 Sc 0.000 0.000 0.500 1
Ga1 Ga 0.250 0.250 0.250 1
Ag1 Ag 0.250 0.250 0.750 1

***

# PBE-GGA VInOs2Pd, optimized geometry
# - Magnetic moment: 0.0 μB/f.u.
# - Total DFT energy (no corrections): -32.52 eV per cell
data_VInOs2Pd
_chemical_formula_sum 'V1 In1 Os2 Pd1'
_cell_length_a 4.443
_cell_length_b 4.443
_cell_length_c 4.980
_cell_angle_alpha 90.00
_cell_angle_beta 90.00
_cell_angle_gamma 90.00
_symmetry_space_group_name_H-M 'P 4/m m m'
_symmetry_Int_Tables_number 123
_symmetry_space_group_name_Hall '-P 4 2'
loop_
_atom_site_label
_atom_site_type_symbol
_atom_site_fract_x
_atom_site_fract_y
_atom_site_fract_z
_atom_site_occupancy
V1 V 0.000 0.000 0.000 1
In1 In 0.000 0.000 0.500 1
Os1 Os 0.000 0.500 0.000 1
Pd1 Pd 0.500 0.500 0.500 1